No. 1
Density functional theory data (GGA-PBE) for Sc5CdHg after structural relaxation.

Cell and atoms, written as POSCAR:
```
Sc5CdHg
1.0
3.8860 -4.0585 0.0000
3.8860 4.0585 0.0000
-2.7972 0.0000 10.4697
Sc Cd Hg
10 2 2
direct
0.0167 0.5614 0.1489 Sc
0.1010 0.8990 0.7500 Sc
0.2379 0.5207 0.4653 Sc
0.4386 0.9833 0.3511 Sc
0.4793 0.7621 0.0347 Sc
0.5207 0.2379 0.9653 Sc
0.5614 0.0167 0.6489 Sc
0.7621 0.4793 0.5347 Sc
0.8990 0.1010 0.2500 Sc
0.9833 0.4386 0.8511 Sc
0.4637 0.5363 0.7500 Cd
0.5363 0.4637 0.2500 Cd
0.0000 0.0000 0.0000 Hg
0.0000 0.0000 0.5000 Hg
```

Summary:
Symmetry ... C2/c, No. 15
Total moment ... 0.00 μB/cell
Energy of formation from the pure elements ... -0.0457 eV per atom
Energy ... -4.742 eV per atom

No. 2
Density functional theory data (GGA-PBE) for AlAs2AuS after structural relaxation.

Cell and atoms, written as POSCAR:
```
AlAs2AuS
1.0
5.0780 0.0000 0.0000
0.0000 5.0780 0.0000
0.0000 0.0000 4.7939
Al As Au S
1 2 1 1
direct
0.0000 0.0000 0.0000 Al
0.0000 0.5000 0.5000 As
0.5000 0.0000 0.5000 As
0.0000 0.0000 0.5000 Au
0.5000 0.5000 0.0000 S
```

Summary:
Symmetry ... P4/mmm, No. 123
Total moment ... 0.00 μB/cell
Energy ... -3.314 eV per atom

No. 3
Density functional theory data (GGA-PBE) for HoScTiCd after structural relaxation.

Cell and atoms, written as POSCAR:
```
HoScTiCd
1.0
0.0000 3.5969 3.5969
3.5969 0.0000 3.5969
3.5969 3.5969 0.0000
Ho Sc Ti Cd
1 1 1 1
direct
0.0000 0.0000 0.0000 Ho
0.5000 0.5000 0.5000 Sc
0.7500 0.7500 0.7500 Ti
0.2500 0.2500 0.2500 Cd
```

Summary:
Symmetry ... F-43m, No. 216
Total moment ... 2.93 μB/cell
Energy of formation from the pure elements ... 0.0353 eV per atom
Energy ... -4.895 eV per atom

No. 4
Density functional theory data (GGA-PBE) for KCr3Sn after structural relaxation.

Cell and atoms, written as POSCAR:
```
KCr3Sn
1.0
5.2914 0.0000 0.0000
0.0000 5.2914 0.0000
0.0000 0.0000 5.2914
K Cr Sn
1 3 1
direct
0.0000 0.0000 0.0000 K
0.0000 0.0000 0.5000 Cr
0.0000 0.5000 0.0000 Cr
0.5000 0.0000 0.0000 Cr
0.5000 0.5000 0.5000 Sn
```

Summary:
Symmetry ... Pm-3m, No. 221
Total moment ... 14.69 μB/cell
Energy of formation from the pure elements ... 2.1058 eV per atom
Energy ... -4.688 eV per atom

No. 5
Density functional theory data (GGA-PBE) for Ce2ZnOs after structural relaxation.

Cell and atoms, written as POSCAR:
```
Ce2ZnOs
1.0
3.5030 0.0000 0.0000
0.0000 3.5030 0.0000
0.0000 0.0000 7.2649
Ce Zn Os
2 1 1
direct
0.0000 0.0000 0.2296 Ce
0.0000 0.0000 0.7704 Ce
0.5000 0.5000 0.5000 Zn
0.5000 0.5000 0.0000 Os
```

Summary:
Symmetry ... P4/mmm, No. 123
Total moment ... 0.00 μB/cell
Energy of formation from the pure elements ... -0.1724 eV per atom
Energy ... -6.265 eV per atom

No. 6
Density functional theory data (GGA-PBE) for Li3PrNi3 after structural relaxation.

Cell and atoms, written as POSCAR:
```
Li3PrNi3
1.0
6.1898 0.0000 0.0000
0.0000 6.1898 0.0000
0.0000 0.0000 6.1898
Li Pr Ni
6 2 6
direct
0.0000 0.2500 0.5000 Li
0.0000 0.7500 0.5000 Li
0.2500 0.5000 0.0000 Li
0.5000 0.0000 0.2500 Li
0.5000 0.0000 0.7500 Li
0.7500 0.5000 0.0000 Li
0.0000 0.0000 0.0000 Pr
0.5000 0.5000 0.5000 Pr
0.0000 0.5000 0.2500 Ni
0.0000 0.5000 0.7500 Ni
0.2500 0.0000 0.5000 Ni
0.5000 0.2500 0.0000 Ni
0.5000 0.7500 0.0000 Ni
0.7500 0.0000 0.5000 Ni
```

Summary:
Symmetry ... Pm-3n, No. 223
Total moment ... 0.00 μB/cell
Energy of formation from the pure elements ... 0.4616 eV per atom
Energy ... -3.519 eV per atom